Density functional theory data (GGA-PBE) for crystalline TaHgAsF2 at its relaxed geometry.

Cell lengths 4.157, 4.157, 5.211 Å; angles 90.00, 90.00, 90.00 degrees
Element x y z (fractional)
Ta: 0.000 0.000 0.000
Hg: 0.500 0.500 0.500
As: 0.000 0.000 0.500
F: 0.000 0.500 0.000
F: 0.500 0.000 0.000

## Properties
**Mass density**: 9.1 Mg/m³
**Total magnetization**: 0.45 μB per formula unit
**SG**: P4/mmm (123)
**Uncorrected energy**: -5.37 eV/atom